[1]
Material: MnMoH2
Method: DFT, GGA-PBE
State: relaxed

Lattice parameters (Å, degrees): 3.5782 3.5782 3.5782 60.00 60.00 60.00
Closest atoms and distances in Å follow each position.
Element x y z (fractional)
1 H 0.2500 0.2500 0.2500  4 Mo 2.19, 4 Mn 2.19
2 H 0.7500 0.7500 0.7500  4 Mn 2.19, 4 Mo 2.19
3 Mn 0.0000 0.0000 0.0000  8 H 2.19
4 Mo 0.5000 0.5000 0.5000  8 H 2.19

## Properties
Calculated volume in Å³ per atom: 8.10
Fermi-level density of states in states/eV per cell: 3.0
Space-group type: No. 225
Energy in eV/cell: -24.2
Energy relative to the lowest polymorph listed for this composition in eV/f.u.: 2.57

---

[2]
Material: MnMo2H
Method: DFT, GGA-PBE
State: relaxed

Lattice parameters (Å, degrees): 5.6913 5.6913 4.9707 55.08 55.08 90.00
Closest atoms and distances in Å follow each position.
Element x y z (fractional)
1 Mo 0.1890 0.6250 0.2500  2 H 1.92
2 Mo 0.5610 0.1250 0.2500  2 H 1.92
3 Mo 0.3750 0.4390 0.7500  2 H 1.92
4 Mo 0.8750 0.8110 0.7500  2 H 1.92
5 H 0.2500 0.7500 0.5000  4 Mo 1.92
6 H 0.5000 0.5000 0.0000  4 Mo 1.92
7 Mn 0.0000 0.0000 0.0000  4 Mo 2.40
8 Mn 0.7500 0.2500 0.5000  4 Mo 2.40

## Properties
Calculated volume in Å³ per atom: 11.81
Fermi-level density of states in states/eV per cell: 5.9
Space-group type: No. 122
Energy in eV/cell: -65.4
Energy relative to the lowest polymorph listed for this composition in eV/f.u.: 0.00